# 1
# Ba2YMn3O8

Ba2YMn3O8 after structural relaxation (GGA+U, the Alexandria database).

Summary:
SG: P4/mmm, No. 123

Cell lengths 3.9749, 3.9749, 11.8759 Å; angles 90.00, 90.00, 90.00 degrees
Fractional coordinates of all 14 atoms:
1 Ba 0.0000 0.0000 0.1635
2 Ba 0.0000 0.0000 0.8365
3 Y 0.0000 0.0000 0.5000
4 Mn 0.5000 0.5000 0.0000
5 Mn 0.5000 0.5000 0.3420
6 Mn 0.5000 0.5000 0.6580
7 O 0.0000 0.5000 0.0000
8 O 0.0000 0.5000 0.3815
9 O 0.0000 0.5000 0.6185
10 O 0.5000 0.0000 0.0000
11 O 0.5000 0.0000 0.3815
12 O 0.5000 0.0000 0.6185
13 O 0.5000 0.5000 0.1716
14 O 0.5000 0.5000 0.8284

***

# 2
# TlNiF3

TlNiF3 after structural relaxation (GGA+U, the Alexandria database).

Summary:
Energy above the lowest structure with this stoichiometry (kJ per mole of atoms): 3.4
SG: C2/m, No. 12

Cell lengths 10.0735, 10.0735, 4.0344 Å; angles 101.34, 101.34, 23.35 degrees
Fractional coordinates of all 10 atoms:
1 Tl 0.0820 0.0820 0.3325
2 Tl 0.9180 0.9180 0.6675
3 Ni 0.3103 0.3103 0.0603
4 Ni 0.6897 0.6897 0.9397
5 F 0.2026 0.2026 0.9533
6 F 0.3172 0.3172 0.5669
7 F 0.4134 0.4134 0.1611
8 F 0.5866 0.5866 0.8389
9 F 0.6828 0.6828 0.4331
10 F 0.7974 0.7974 0.0467

***

Number 1: energy -7.451 eV per atom. Number 2: energy -4.098 eV per atom.